No. 1
ErSiBi: relaxed, PBE.

Unit cell a=15.6636 b=3.7011 c=5.1735 alpha=90.00 beta=98.69 gamma=90.00
Space group C2/m (No. 12)
Asymmetric unit:
Er 0.1367 0.0000 0.3149 x4
Si 0.2348 0.0000 0.8521 x4
Bi 0.0698 0.5000 0.7774 x4

Calculated values
- ΔE_f (raw) (eV per atom) = -0.3963
- volume (Å³/atom) = 24.706
- energy (Ha/atom) = -0.1844
- crystal system = monoclinic

No. 2
Er5Si2Bi2: relaxed, PBE.

Unit cell a=16.9096 b=9.0889 c=6.2482 alpha=90.00 beta=90.00 gamma=90.00
Space group Ima2 (No. 46)
Asymmetric unit:
Er 0.0665 0.2504 0.0000 x8
Er 0.1497 0.6115 0.2494 x8
Er 0.2500 0.0617 0.2491 x4
Si 0.0000 0.0000 0.7503 x4
Si 0.2500 0.1328 0.7486 x4
Bi 0.0881 0.5769 0.7494 x8

Calculated values
- ΔE_f (raw) (eV per atom) = -0.5110
- offset from the most stable computed form (meV/atom) = 272.6
- volume (Å³/atom) = 26.674
- energy (Ha/atom) = -0.1879
- crystal system = orthorhombic

No. 3
Er5Si2Bi: relaxed, PBE.

Unit cell a=7.8270 b=7.8270 c=13.3168 alpha=90.00 beta=90.00 gamma=90.00
Space group I4/mcm (No. 140)
Asymmetric unit:
Er 0.0000 0.0000 0.0000 x4
Er 0.1525 0.3475 0.1380 x16
Si 0.1498 0.3502 0.5000 x8
Bi 0.0000 0.0000 0.2500 x4

Calculated values
- ΔE_f (raw) (eV per atom) = -0.6645
- volume (Å³/atom) = 25.494
- energy (Ha/atom) = -0.1969
- crystal system = tetragonal

No. 4
Er2SiBi: relaxed, PBE.

Unit cell a=4.1006 b=4.1006 c=22.5394 alpha=90.00 beta=90.00 gamma=120.00
Space group R-3m (No. 166, hexagonal axes)
Asymmetric unit:
Er 0.0000 0.0000 0.2375 x6
Si 0.0000 0.0000 0.5000 x3
Bi 0.0000 0.0000 0.0000 x3

Calculated values
- ΔE_f (raw) (eV per atom) = -0.6451
- volume (Å³/atom) = 27.360
- energy (Ha/atom) = -0.1930
- crystal system = trigonal